1.
First-principles (PBE) data for crystalline RbTiV2 at its relaxed geometry, as listed in Alexandria via LeMat-Bulk.

Cell: 4.9402 4.9402 4.9402 Å, 60.00 60.00 60.00°
Positions (direct):
Rb1 0.5000 0.5000 0.5000
V1 0.7500 0.7500 0.7500
V2 0.2500 0.2500 0.2500
Ti1 0.0000 0.0000 0.0000

## Properties
Formation energy, meV/atom: 1637
Raw total energy, eV/atom: -5.138
N(E_F), states/eV per cell: 9.2
Total magnetization, μB per cell: 5.47
Energy relative to the lowest polymorph listed for this composition, meV/atom: 0.0

2.
First-principles (PBE) data for crystalline Rb2TiV2 at its relaxed geometry, as listed in Alexandria via LeMat-Bulk.

Cell: 10.6460 10.6460 3.1647 Å, 90.00 90.00 90.00°
Positions (direct):
V1 0.4397 0.9397 0.0000
V2 0.5603 0.0603 0.0000
V3 0.0603 0.4397 0.0000
V4 0.9397 0.5603 0.0000
Rb1 0.7817 0.2817 0.5000
Rb2 0.2817 0.2183 0.5000
Rb3 0.7183 0.7817 0.5000
Rb4 0.2183 0.7183 0.5000
Ti1 0.5000 0.5000 0.0000
Ti2 0.0000 0.0000 0.0000

## Properties
Formation energy, meV/atom: 1590
Raw total energy, eV/atom: -4.023
N(E_F), states/eV per cell: 13.6
Total magnetization, μB per cell: 6.00
Energy relative to the lowest polymorph listed for this composition, meV/atom: 177.3

3.
First-principles (PBE) data for crystalline RbTi2W at its relaxed geometry, as listed in Alexandria via LeMat-Bulk.

Cell: 7.3111 7.3111 7.7711 Å, 61.94 61.94 90.00°
Positions (direct):
Ti1 0.8746 0.1250 0.2500
Ti2 0.8754 0.6250 0.2500
Ti3 0.3750 0.1254 0.7500
Ti4 0.8750 0.1246 0.7500
Rb1 0.5000 0.5000 0.0000
Rb2 0.2500 0.7500 0.5000
W1 0.7500 0.2500 0.5000
W2 0.0000 0.0000 0.0000

## Properties
Formation energy, meV/atom: 1566
Raw total energy, eV/atom: -5.862
N(E_F), states/eV per cell: 10.4
Total magnetization, μB per cell: 0.20
Energy relative to the lowest polymorph listed for this composition, meV/atom: 145.3

4.
First-principles (PBE) data for crystalline RbTi2W2 at its relaxed geometry, as listed in Alexandria via LeMat-Bulk.

Cell: 8.7407 8.7407 2.7874 Å, 90.00 90.00 90.00°
Positions (direct):
Ti1 0.3632 0.8632 0.0000
Ti2 0.1368 0.3632 0.0000
Ti3 0.6368 0.1368 0.0000
Ti4 0.8632 0.6368 0.0000
W1 0.6311 0.8689 0.5000
W2 0.1311 0.6311 0.5000
W3 0.3689 0.1311 0.5000
W4 0.8689 0.3689 0.5000
Rb1 0.5000 0.5000 0.0000
Rb2 0.0000 0.0000 0.0000

## Properties
Formation energy, meV/atom: 867
Raw total energy, eV/atom: -7.665
N(E_F), states/eV per cell: 12.5
Total magnetization, μB per cell: 0.00
Energy relative to the lowest polymorph listed for this composition, meV/atom: 0.0